[1]
The following is a DFT calculation (PBE) of a relaxed ScTi2RePd crystal.

Results
Calculated volume ... 94.4 Å³/cell
Total magnetization ... 0.00 Bohr magnetons per cell
ΔH_f (0 K) ... 1473 meV/atom
Space-group type ... P4/mmm (123)
Energy ... -6.48 eV/atom

Unit cell a=4.555 b=4.555 c=4.552 alpha=90.00 beta=90.00 gamma=90.00
Positions (direct):
Sc  0.000  0.000  0.000
Ti  0.000  0.500  0.000
Ti  0.500  0.000  0.000
Re  0.000  0.000  0.500
Pd  0.500  0.500  0.500


[2]
The following is a DFT calculation (PBE) of a relaxed MgTi2Co2 crystal.

Results
Calculated volume ... 81.2 Å³/cell
Total magnetization ... 0.00 Bohr magnetons per cell
ΔH_f (0 K) ... 88 meV/atom
Space-group type ... I4/mmm (139)
Energy ... -6.23 eV/atom

Unit cell a=6.619 b=6.619 c=6.619 alpha=148.00 beta=148.00 gamma=45.89
Positions (direct):
Mg  0.000  0.000  0.000
Ti  0.373  0.373  0.000
Ti  0.627  0.627  0.000
Co  0.250  0.750  0.500
Co  0.750  0.250  0.500


[3]
The following is a DFT calculation (PBE) of a relaxed AcB2Os2 crystal.

Results
Calculated volume ... 161.1 Å³/cell
Total magnetization ... 0.00 Bohr magnetons per cell
ΔH_f (0 K) ... -374 meV/atom
Space-group type ... Fddd (70)
Energy ... -8.36 eV/atom

Unit cell a=7.021 b=6.155 c=5.743 alpha=72.23 beta=56.60 gamma=51.17
Positions (direct):
Ac  0.125  0.125  0.125
Ac  0.875  0.875  0.875
B  0.198  0.552  0.198
B  0.448  0.802  0.448
B  0.552  0.198  0.552
B  0.802  0.448  0.802
Os  0.239  0.239  0.511
Os  0.489  0.489  0.761
Os  0.511  0.511  0.239
Os  0.761  0.761  0.489


[4]
The following is a DFT calculation (PBE) of a relaxed Ac6Tl6In crystal.

Results
Calculated volume ... 473.8 Å³/cell
Total magnetization ... 1.55 Bohr magnetons per cell
ΔH_f (0 K) ... -240 meV/atom
Space-group type ... P6/mmm (191)
Energy ... -3.44 eV/atom

Unit cell a=6.904 b=6.904 c=11.478 alpha=90.00 beta=90.00 gamma=120.00
Positions (direct):
Ac  0.000  0.000  0.194
Ac  0.000  0.000  0.806
Ac  0.333  0.667  0.000
Ac  0.333  0.667  0.500
Ac  0.667  0.333  0.000
Ac  0.667  0.333  0.500
Tl  0.000  0.500  0.251
Tl  0.000  0.500  0.749
Tl  0.500  0.000  0.251
Tl  0.500  0.000  0.749
Tl  0.500  0.500  0.251
Tl  0.500  0.500  0.749
In  0.000  0.000  0.500